Record 1
The following is a SCAN calculation of AlReAs2Br at its PBEsol-relaxed geometry, from Alexandria.

```
data_AlReAs2Br
_chemical_formula_sum 'Al1 Re1 As2 Br1'
_space_group_name_H-M_alt 'P 4/m m m'
_space_group_IT_number 123
_space_group_name_Hall '-P 4 2'
_cell_length_a 4.701
_cell_length_b 4.701
_cell_length_c 5.494
_cell_angle_alpha 90.00
_cell_angle_beta 90.00
_cell_angle_gamma 90.00
loop_
_atom_site_label
_atom_site_fract_x
_atom_site_fract_y
_atom_site_fract_z
Al1 0.000 0.000 0.000
Re1 0.500 0.500 0.500
As1 0.000 0.500 0.500
Br1 0.500 0.500 0.000
```

Calculated values
The density of states at the Fermi level is 3.06 states/eV per cell. The calculation puts the energy relative to the elements, uncorrected at 0.614 eV/atom.

Record 2
The following is a SCAN calculation of Te2OsPtN at its PBEsol-relaxed geometry, from Alexandria.

```
data_Te2OsPtN
_chemical_formula_sum 'Te2 Os1 Pt1 N1'
_space_group_name_H-M_alt 'P 4/m m m'
_space_group_IT_number 123
_space_group_name_Hall '-P 4 2'
_cell_length_a 5.258
_cell_length_b 5.258
_cell_length_c 3.600
_cell_angle_alpha 90.00
_cell_angle_beta 90.00
_cell_angle_gamma 90.00
loop_
_atom_site_label
_atom_site_fract_x
_atom_site_fract_y
_atom_site_fract_z
Te1 0.000 0.500 0.000
Os1 0.000 0.000 0.000
Pt1 0.500 0.500 0.500
N1 0.000 0.000 0.500
```

Calculated values
The density of states at the Fermi level is 2.19 states/eV per cell. The calculation puts the energy relative to the elements, uncorrected at 0.542 eV/atom.

Record 3
The following is a SCAN calculation of InGaO2 at its PBEsol-relaxed geometry, from Alexandria.

```
data_InGaO2
_chemical_formula_sum 'In3 Ga3 O6'
_space_group_name_H-M_alt 'R -3 m'
_space_group_IT_number 166
_space_group_name_Hall '-R 3 2"'
_cell_length_a 2.9933
_cell_length_b 2.9933
_cell_length_c 19.5951
_cell_angle_alpha 90.00
_cell_angle_beta 90.00
_cell_angle_gamma 120.00
loop_
_atom_site_label
_atom_site_fract_x
_atom_site_fract_y
_atom_site_fract_z
In1 0.0000 0.0000 0.0000
Ga1 0.0000 0.0000 0.5000
O1 0.0000 0.0000 0.1149
```

Calculated values
The density of states at the Fermi level is 0.26 states/eV per cell. The calculation puts the energy relative to the elements, uncorrected at -1.616 eV/atom.

Record 4
The following is a SCAN calculation of SrNiP2 at its PBEsol-relaxed geometry, from Alexandria.

```
data_SrNiP2
_chemical_formula_sum 'Sr4 Ni4 P8'
_space_group_name_H-M_alt 'C m c m'
_space_group_IT_number 63
_space_group_name_Hall '-C 2c 2'
_cell_length_a 4.230
_cell_length_b 15.586
_cell_length_c 4.111
_cell_angle_alpha 90.00
_cell_angle_beta 90.00
_cell_angle_gamma 90.00
loop_
_atom_site_label
_atom_site_fract_x
_atom_site_fract_y
_atom_site_fract_z
Sr1 0.000 0.105 0.250
Ni1 0.000 0.314 0.250
P1 0.000 0.250 0.750
P2 0.000 0.461 0.250
```

Calculated values
The density of states at the Fermi level is 4.73 states/eV per cell. The value obtained for the formation energy is -80 kJ per mole of atoms.

Record 5
The following is a SCAN calculation of NaNi2Ir at its PBEsol-relaxed geometry, from Alexandria.

```
data_NaNi2Ir
_chemical_formula_sum 'Na4 Ni8 Ir4'
_space_group_name_H-M_alt 'F m -3 m'
_space_group_IT_number 225
_space_group_name_Hall '-F 4 2 3'
_cell_length_a 5.933
_cell_length_b 5.933
_cell_length_c 5.933
_cell_angle_alpha 90.00
_cell_angle_beta 90.00
_cell_angle_gamma 90.00
loop_
_atom_site_label
_atom_site_fract_x
_atom_site_fract_y
_atom_site_fract_z
Na1 0.000 0.000 0.000
Ni1 0.250 0.250 0.250
Ir1 0.000 0.000 0.500
```

Calculated values
The density of states at the Fermi level is 20.19 states/eV per cell. The value obtained for the formation energy is 46 kJ per mole of atoms.

Record 6
The following is a SCAN calculation of CaReAs2Se at its PBEsol-relaxed geometry, from Alexandria.

```
data_CaReAs2Se
_chemical_formula_sum 'Ca1 Re1 As2 Se1'
_space_group_name_H-M_alt 'P 4/m m m'
_space_group_IT_number 123
_space_group_name_Hall '-P 4 2'
_cell_length_a 4.640
_cell_length_b 4.640
_cell_length_c 5.693
_cell_angle_alpha 90.00
_cell_angle_beta 90.00
_cell_angle_gamma 90.00
loop_
_atom_site_label
_atom_site_fract_x
_atom_site_fract_y
_atom_site_fract_z
Ca1 0.000 0.000 0.000
Re1 0.500 0.500 0.500
As1 0.000 0.500 0.500
Se1 0.500 0.500 0.000
```

Calculated values
The density of states at the Fermi level is 2.50 states/eV per cell. The calculation puts the energy relative to the elements, uncorrected at -0.147 eV/atom.

Record 7
The following is a SCAN calculation of Pr at its PBEsol-relaxed geometry, from Alexandria.

```
data_Pr
_chemical_formula_sum 'Pr4'
_space_group_name_H-M_alt 'F m -3 m'
_space_group_IT_number 225
_space_group_name_Hall '-F 4 2 3'
_cell_length_a 5.135
_cell_length_b 5.135
_cell_length_c 5.135
_cell_angle_alpha 90.00
_cell_angle_beta 90.00
_cell_angle_gamma 90.00
loop_
_atom_site_label
_atom_site_fract_x
_atom_site_fract_y
_atom_site_fract_z
Pr1 0.000 0.000 0.000
```

Calculated values
As for the distance to the lowest polymorph of the same formula: 9.8 meV per atom. The density of states at the Fermi level is 6.35 states/eV per cell. The value obtained for the formation energy is 1 kJ per mole of atoms.

Record 8
The following is a SCAN calculation of LiZrGa2 at its PBEsol-relaxed geometry, from Alexandria.

```
data_LiZrGa2
_chemical_formula_sum 'Li4 Zr4 Ga8'
_space_group_name_H-M_alt 'F m -3 m'
_space_group_IT_number 225
_space_group_name_Hall '-F 4 2 3'
_cell_length_a 6.456
_cell_length_b 6.456
_cell_length_c 6.456
_cell_angle_alpha 90.00
_cell_angle_beta 90.00
_cell_angle_gamma 90.00
loop_
_atom_site_label
_atom_site_fract_x
_atom_site_fract_y
_atom_site_fract_z
Li1 0.000 0.000 0.000
Zr1 0.000 0.000 0.500
Ga1 0.250 0.250 0.250
```

Calculated values
The density of states at the Fermi level is 7.05 states/eV per cell. The value obtained for the formation energy is -37 kJ per mole of atoms.

Record 9
The following is a SCAN calculation of CrAsO2 at its PBEsol-relaxed geometry, from Alexandria.

```
data_CrAsO2
_chemical_formula_sum 'Cr3 As3 O6'
_space_group_name_H-M_alt 'R -3 m'
_space_group_IT_number 166
_space_group_name_Hall '-R 3 2"'
_cell_length_a 2.9611
_cell_length_b 2.9611
_cell_length_c 18.7078
_cell_angle_alpha 90.00
_cell_angle_beta 90.00
_cell_angle_gamma 120.00
loop_
_atom_site_label
_atom_site_fract_x
_atom_site_fract_y
_atom_site_fract_z
Cr1 0.0000 0.0000 0.0000
As1 0.0000 0.0000 0.5000
O1 0.0000 0.0000 0.3866
```

Calculated values
The density of states at the Fermi level is 0.95 states/eV per cell. The calculation puts the energy relative to the elements, uncorrected at -1.733 eV/atom.

Record 10
The following is a SCAN calculation of CoRhI2O at its PBEsol-relaxed geometry, from Alexandria.

```
data_CoRhI2O
_chemical_formula_sum 'Co1 Rh1 I2 O1'
_space_group_name_H-M_alt 'P 4/m m m'
_space_group_IT_number 123
_space_group_name_Hall '-P 4 2'
_cell_length_a 5.417
_cell_length_b 5.417
_cell_length_c 3.656
_cell_angle_alpha 90.00
_cell_angle_beta 90.00
_cell_angle_gamma 90.00
loop_
_atom_site_label
_atom_site_fract_x
_atom_site_fract_y
_atom_site_fract_z
Co1 0.000 0.000 0.000
Rh1 0.500 0.500 0.500
I1 0.000 0.500 0.500
O1 0.500 0.500 0.000
```

Calculated values
The density of states at the Fermi level is 5.44 states/eV per cell. The calculation puts the energy relative to the elements, uncorrected at 0.285 eV/atom.

Record 11
The following is a SCAN calculation of LaOs2Rh at its PBEsol-relaxed geometry, from Alexandria.

```
data_LaOs2Rh
_chemical_formula_sum 'La1 Os2 Rh1'
_space_group_name_H-M_alt 'P 1 m 1'
_space_group_IT_number 6
_cell_length_a 2.855
_cell_length_b 4.394
_cell_length_c 5.653
_cell_angle_alpha 90.00
_cell_angle_beta 101.08
_cell_angle_gamma 90.00
loop_
_space_group_symop_operation_xyz
'x,y,z'
'x,-y,z'
loop_
_atom_site_label
_atom_site_fract_x
_atom_site_fract_y
_atom_site_fract_z
La1 0.000 0.000 0.000
Os1 0.410 0.000 0.489
Os2 0.785 0.500 0.372
Rh1 0.454 0.500 0.772
```

Calculated values
As for the distance to the lowest polymorph of the same formula: 23.2 meV per atom. The density of states at the Fermi level is 3.05 states/eV per cell. The value obtained for the formation energy is 19 kJ per mole of atoms.

Record 12
The following is a SCAN calculation of ZrMo2Ru at its PBEsol-relaxed geometry, from Alexandria.

```
data_ZrMo2Ru
_chemical_formula_sum 'Zr2 Mo4 Ru2'
_space_group_name_H-M_alt 'I 4/m m m'
_space_group_IT_number 139
_space_group_name_Hall '-I 4 2'
_cell_length_a 3.740
_cell_length_b 3.740
_cell_length_c 9.366
_cell_angle_alpha 90.00
_cell_angle_beta 90.00
_cell_angle_gamma 90.00
loop_
_atom_site_label
_atom_site_fract_x
_atom_site_fract_y
_atom_site_fract_z
Zr1 0.000 0.000 0.000
Mo1 0.000 0.500 0.250
Ru1 0.000 0.000 0.500
```

Calculated values
As for the distance to the lowest polymorph of the same formula: 0.0 meV per atom. The density of states at the Fermi level is 5.02 states/eV per cell. The value obtained for the formation energy is 2 kJ per mole of atoms.